First-principles (PBE with a Hubbard U) data for a geometry-optimized VNiP2O8 structure, as listed in Alexandria.

Calculated values
- VASP energy: -7.003 eV/atom
- Total magnetic moment: 6.0 Bohr magnetons per cell
- V: 11.479 Å³/atom
- Excess energy over the best structure of this formula in the dataset: 0 meV per atom

```
data_VNiP2O8
_chemical_formula_sum 'V2 Ni2 P4 O16'
_cell_length_a 4.798
_cell_length_b 5.811
_cell_length_c 9.882
_cell_angle_alpha 90.00
_cell_angle_beta 90.88
_cell_angle_gamma 90.00
_space_group_name_H-M_alt 'P 1 21/m 1'
_space_group_IT_number 11
_space_group_name_Hall '-P 2yb'
loop_
_atom_site_label
_atom_site_type_symbol
_atom_site_fract_x
_atom_site_fract_y
_atom_site_fract_z
_atom_site_occupancy
V1 V 0.058 0.250 0.278 1
Ni1 Ni 0.441 0.250 0.774 1
P1 P 0.085 0.750 0.411 1
P2 P 0.381 0.750 0.905 1
O1 O 0.179 0.750 0.561 1
O2 O 0.224 0.548 0.828 1
O3 O 0.227 0.250 0.603 1
O4 O 0.227 0.539 0.335 1
O5 O 0.306 0.250 0.128 1
O6 O 0.338 0.750 0.055 1
```